[1]
# PrGdH2O4 (PBE, optimized geometry)
# V, A^3/atom: 11.8
# Total magnetization, μB/cell: 0.00
# Uncorrected energy, eV/atom: -7.066
# Mass density, g cm⁻³: 6.38
data_PrGdH2O4
_chemical_formula_sum 'Pr1 Gd1 H2 O4'
_cell_length_a 4.372
_cell_length_b 3.726
_cell_length_c 6.143
_cell_angle_alpha 90.00
_cell_angle_beta 108.81
_cell_angle_gamma 90.00
_space_group_name_H-M_alt 'P 1 m 1'
_space_group_IT_number 6
_space_group_name_Hall 'P -2y'
loop_
_atom_site_label
_atom_site_type_symbol
_atom_site_fract_x
_atom_site_fract_y
_atom_site_fract_z
Pr1 Pr 0.000 0.000 0.000
Gd1 Gd 0.669 0.500 0.384
H1 H 0.310 0.500 0.744
H2 H 0.335 0.000 0.586
O1 O 0.087 0.500 0.745
O2 O 0.105 0.500 0.251
O3 O 0.568 0.000 0.622
O4 O 0.576 0.000 0.156

[2]
# NaPrHgSe3 (PBE, optimized geometry)
# V, A^3/atom: 28.4
# Total magnetization, μB/cell: 0.00
# Uncorrected energy, eV/atom: -3.864
# Mass density, g cm⁻³: 5.86
# Excess energy over the best structure of this formula in the dataset, eV per atom: 0.056
data_NaPrHgSe3
_chemical_formula_sum 'Na4 Pr4 Hg4 Se12'
_cell_length_a 18.925
_cell_length_b 4.243
_cell_length_c 8.802
_cell_angle_alpha 90.00
_cell_angle_beta 105.25
_cell_angle_gamma 90.00
_space_group_name_H-M_alt 'C 1 2/m 1'
_space_group_IT_number 12
_space_group_name_Hall '-C 2y'
loop_
_atom_site_label
_atom_site_type_symbol
_atom_site_fract_x
_atom_site_fract_y
_atom_site_fract_z
Na1 Na 0.122 0.000 0.086
Pr1 Pr 0.178 0.000 0.604
Hg1 Hg 0.032 0.500 0.726
Se1 Se 0.000 0.000 0.500
Se2 Se 0.000 0.500 0.000
Se3 Se 0.165 0.500 0.364
Se4 Se 0.179 0.500 0.844

[3]
# Er3Mg3Zn2Pt (PBE, optimized geometry)
# V, A^3/atom: 22.0
# Total magnetization, μB/cell: 0.18
# Uncorrected energy, eV/atom: -3.473
# Mass density, g cm⁻³: 7.56
data_Er3Mg3Zn2Pt
_chemical_formula_sum 'Er3 Mg3 Zn2 Pt1'
_cell_length_a 7.3741
_cell_length_b 7.3741
_cell_length_c 4.1992
_cell_angle_alpha 90.00
_cell_angle_beta 90.00
_cell_angle_gamma 120.00
_space_group_name_H-M_alt 'P -6 2 m'
_space_group_IT_number 189
_space_group_name_Hall 'P -6 -2'
loop_
_atom_site_label
_atom_site_type_symbol
_atom_site_fract_x
_atom_site_fract_y
_atom_site_fract_z
Er1 Er 0.0000 0.4037 0.0000
Mg1 Mg 0.0000 0.7584 0.5000
Zn1 Zn 0.3333 0.6667 0.5000
Pt1 Pt 0.0000 0.0000 0.0000